[1]
DFT (PBE) results for PrAlAg2Ge after structural relaxation.

a = 6.3348 Å, b = 6.3348 Å, c = 6.3348 Å
α = 139.76°, β = 139.76°, γ = 58.22°
Closest atoms and distances in Å follow each position.
Element x y z (fractional)
Ge 0.6075 0.6075 0.0000  1 Al 2.48, 4 Ag 2.70
Ag 0.2523 0.7523 0.5000  2 Al 2.62, 2 Ge 2.70
Ag 0.7523 0.2523 0.5000  2 Al 2.62, 2 Ge 2.70
Al 0.3836 0.3836 0.0000  1 Ge 2.48, 4 Ag 2.62
Pr 0.0042 0.0042 0.0000  4 Ge 3.29, 4 Al 3.36, 8 Ag 3.51-3.54

polymorph energy (0 for the lowest one)	0.000	eV per atom

---

[2]
DFT (PBE) results for PrAlAg2Ge after structural relaxation.

a = 4.3290 Å, b = 4.3290 Å, c = 11.2262 Å
α = 90.00°, β = 90.00°, γ = 90.00°
Closest atoms and distances in Å follow each position.
Element x y z (fractional)
Pr 0.0000 0.5000 0.2424  4 Ge 3.26, 8 Ag 3.38-3.48, 4 Al 3.61
Pr 0.5000 0.0000 0.7576  4 Ge 3.26, 8 Ag 3.38-3.48, 4 Al 3.61
Ag 0.0000 0.0000 0.0000  4 Ge 2.69
Ag 0.5000 0.0000 0.3691  1 Ge 2.54, 4 Al 2.62
Ag 0.5000 0.5000 0.0000  4 Ge 2.69
Ag 0.0000 0.5000 0.6309  1 Ge 2.54, 4 Al 2.62
Al 0.5000 0.5000 0.5000  4 Ag 2.62
Al 0.0000 0.0000 0.5000  4 Ag 2.62
Ge 0.0000 0.5000 0.8574  5 Ag 2.54-2.69
Ge 0.5000 0.0000 0.1426  5 Ag 2.54-2.69

polymorph energy (0 for the lowest one)	0.021	eV per atom

---

[3]
DFT (PBE) results for TmSc2Al3AgGe2 after structural relaxation.

a = 4.1529 Å, b = 6.8731 Å, c = 6.8731 Å
α = 120.45°, β = 90.00°, γ = 90.00°
Closest atoms and distances in Å follow each position.
Element x y z (fractional)
Ge 0.5000 0.6678 0.3276  3 Al 2.61-2.67, 4 Sc 2.90-2.91
Ge 0.5000 0.3276 0.6678  3 Al 2.61-2.67, 4 Sc 2.90-2.91
Al 0.5000 0.7568 0.0006  2 Ge 2.61-2.66, 2 Ag 2.69, 2 Al 2.88-2.91
Al 0.5000 0.0006 0.7568  2 Ge 2.61-2.66, 2 Ag 2.69, 2 Al 2.88-2.91
Al 0.5000 0.2437 0.2437  2 Ag 2.62, 2 Ge 2.67, 2 Al 2.88
Sc 0.0000 0.9971 0.4152  1 Ag 2.84, 4 Ge 2.90-2.91, 2 Al 3.13
Sc 0.0000 0.4152 0.9971  1 Ag 2.84, 4 Ge 2.90-2.91, 2 Al 3.13
Ag 0.0000 0.0086 0.0086  6 Al 2.62-2.69, 2 Sc 2.84, 1 Tm 2.91
Tm 0.0000 0.5826 0.5826  1 Ag 2.91, 4 Ge 2.96, 6 Al 3.11-3.24

VASP energy	-5.061	eV/atom

---

[4]
DFT (PBE) results for Tb2YAl3AgGe2 after structural relaxation.

a = 4.2931 Å, b = 7.0856 Å, c = 7.0856 Å
α = 119.99°, β = 90.00°, γ = 90.00°
Closest atoms and distances in Å follow each position.
Element x y z (fractional)
Y 0.0000 0.4132 0.4132  1 Ag 2.93, 4 Ge 3.03, 2 Al 3.26
Ag 0.0000 0.0002 0.0002  6 Al 2.74, 1 Y 2.93, 2 Tb 2.93
Ge 0.5000 0.3334 0.6665  3 Al 2.75, 2 Y 3.03, 4 Tb 3.03
Ge 0.5000 0.6665 0.3334  3 Al 2.75, 2 Y 3.03, 4 Tb 3.03
Al 0.5000 0.2399 0.0000  2 Ag 2.74, 2 Ge 2.75, 2 Al 2.94
Al 0.5000 0.7601 0.7601  2 Ag 2.74, 2 Ge 2.75, 2 Al 2.94
Al 0.5000 0.0000 0.2399  2 Ag 2.74, 2 Ge 2.75, 2 Al 2.94
Tb 0.0000 0.5868 0.9999  1 Ag 2.93, 4 Ge 3.03, 2 Al 3.26
Tb 0.0000 0.9999 0.5868  1 Ag 2.93, 4 Ge 3.03, 2 Al 3.26

VASP energy	-4.961	eV/atom

---

[5]
DFT (PBE) results for TbY2Al3AgGe2 after structural relaxation.

a = 4.2893 Å, b = 7.0796 Å, c = 7.0796 Å
α = 120.02°, β = 90.00°, γ = 90.00°
Closest atoms and distances in Å follow each position.
Element x y z (fractional)
Al 0.5000 0.7599 0.0000  2 Ag 2.74, 2 Ge 2.75, 2 Al 2.94
Al 0.5000 0.0000 0.7599  2 Ag 2.74, 2 Ge 2.75, 2 Al 2.94
Al 0.5000 0.2401 0.2401  2 Ag 2.74, 2 Ge 2.75, 2 Al 2.94
Ag 0.0000 0.0003 0.0003  6 Al 2.74, 2 Y 2.93, 1 Tb 2.93
Y 0.0000 0.9999 0.4137  1 Ag 2.93, 4 Ge 3.02, 2 Al 3.26
Y 0.0000 0.4137 0.9999  1 Ag 2.93, 4 Ge 3.02, 2 Al 3.26
Tb 0.0000 0.5863 0.5863  1 Ag 2.93, 4 Ge 3.03, 2 Al 3.26
Ge 0.5000 0.3331 0.6667  3 Al 2.75, 4 Y 3.02, 2 Tb 3.03
Ge 0.5000 0.6667 0.3331  3 Al 2.75, 4 Y 3.02, 2 Tb 3.03

VASP energy	-5.167	eV/atom

---

[6]
DFT (PBE) results for Y3Al3Ag2Ge after structural relaxation.

a = 8.2306 Å, b = 8.2306 Å, c = 3.4372 Å
α = 90.00°, β = 90.00°, γ = 120.00°
Closest atoms and distances in Å follow each position.
Element x y z (fractional)
Al 0.0000 0.3993 0.0000  4 Ag 3.05, 6 Y 3.13-3.39, 1 Ge 3.29
Al 0.3993 0.0000 0.0000  4 Ag 3.05, 6 Y 3.13-3.39, 1 Ge 3.29
Al 0.6007 0.6007 0.0000  4 Ag 3.05, 6 Y 3.13-3.39, 1 Ge 3.29
Y 0.7175 0.0000 0.5000  2 Ge 2.89, 2 Ag 2.97, 2 Al 3.13
Y 0.0000 0.7175 0.5000  2 Ge 2.89, 2 Ag 2.97, 2 Al 3.13
Y 0.2825 0.2825 0.5000  2 Ge 2.89, 2 Ag 2.97, 2 Al 3.13
Ag 0.6667 0.3333 0.5000  3 Y 2.97, 6 Al 3.05
Ag 0.3333 0.6667 0.5000  3 Y 2.97, 6 Al 3.05
Ge 0.0000 0.0000 0.0000  6 Y 2.89

polymorph energy (0 for the lowest one)	0.245	eV per atom